(1)
The following is a DFT calculation (PBE-GGA) of a relaxed structure of LiNiI.

Cell: 5.0689 7.4234 6.1545 Å, 90.00 90.00 90.00°
Sites, in units of the cell vectors:
Li: 0.0023 0.2500 0.1092
Li: 0.4977 0.7500 0.6092
Li: 0.5023 0.2500 0.3908
Li: 0.9977 0.7500 0.8908
Ni: 0.2491 0.7500 0.2493
Ni: 0.2509 0.2500 0.7493
Ni: 0.7491 0.7500 0.2507
Ni: 0.7509 0.2500 0.7507
I: 0.0000 0.0000 0.5000
I: 0.0000 0.5000 0.5000
I: 0.5000 0.0000 0.0000
I: 0.5000 0.5000 0.0000

Output
Volume: 19.30 Å³ per atom
Space-group type: No. 62
Formation energy from raw total energies: -0.0668 eV/atom
Energy: -3.149 eV/atom
Energy above the lowest structure with this stoichiometry: 0.594 eV per formula unit
Density of states at the Fermi level: 5.50 states/eV per cell


(2)
The following is a DFT calculation (PBE-GGA) of a relaxed structure of TaIn2Ir.

Cell: 3.0629 3.0629 7.8882 Å, 90.00 90.00 90.00°
Sites, in units of the cell vectors:
Ta: 0.0000 0.0000 0.0000
In: 0.5000 0.5000 0.2721
In: 0.5000 0.5000 0.7279
Ir: 0.0000 0.0000 0.5000

Output
Calculated formation energy: 0.132 eV/atom
Volume: 18.50 Å³ per atom
Space-group type: No. 123
Energy: -6.416 eV/atom
Energy above the lowest structure with this stoichiometry: 1.036 eV per formula unit
Density of states at the Fermi level: 2.03 states/eV per cell


(3)
The following is a DFT calculation (PBE-GGA) of a relaxed structure of ZrBr2Cl.

Cell: 7.4826 7.4826 6.4572 Å, 115.32 115.32 27.14°
Sites, in units of the cell vectors:
Zr: 0.0000 0.0000 0.0000
Br: 0.3560 0.3560 0.9814
Br: 0.6441 0.6441 0.2663
Cl: 0.9997 0.9997 0.6365

Output
Volume: 37.02 Å³ per atom
Space-group type: No. 8
Formation energy from raw total energies: -1.3765 eV/atom
Energy: -4.812 eV/atom
Energy above the lowest structure with this stoichiometry: 0.167 eV per formula unit
Density of states at the Fermi level: 1.54 states/eV per cell


(4)
The following is a DFT calculation (PBE-GGA) of a relaxed structure of TaMoW2.

Cell: 5.8173 5.8173 5.8173 Å, 102.55 102.55 124.44°
Sites, in units of the cell vectors:
Ta: 0.0000 0.0000 0.0000
Ta: 0.7500 0.2500 0.5000
Mo: 0.2500 0.7500 0.5000
Mo: 0.5000 0.5000 0.0000
W: 0.1403 0.1250 0.5153
W: 0.3750 0.8597 0.9847
W: 0.6097 0.6250 0.4847
W: 0.8750 0.3903 0.0153

Output
Calculated formation energy: 0.891 eV/atom
Volume: 17.96 Å³ per atom
Space-group type: No. 122
Energy: -11.256 eV/atom
Energy above the lowest structure with this stoichiometry: 4.091 eV per formula unit
Density of states at the Fermi level: 6.90 states/eV per cell


(5)
The following is a DFT calculation (PBE-GGA) of a relaxed structure of AgTeP4.

Cell: 5.8673 5.8673 5.8673 Å, 60.00 60.00 60.00°
Sites, in units of the cell vectors:
Ag: 0.0000 0.0000 0.0000
Te: 0.2500 0.2500 0.2500
P: 0.0347 0.6551 0.6551
P: 0.6551 0.0347 0.6551
P: 0.6551 0.6551 0.0347
P: 0.6551 0.6551 0.6551

Output
Volume: 23.80 Å³ per atom
Space-group type: No. 216
Formation energy from raw total energies: 0.5215 eV/atom
Energy: -4.084 eV/atom
Density of states at the Fermi level: 3.84 states/eV per cell


(6)
The following is a DFT calculation (PBE-GGA) of a relaxed structure of ZrNpPa.

Cell: 5.8767 5.8767 5.8767 Å, 144.40 144.40 51.23°
Sites, in units of the cell vectors:
Zr: 0.0000 0.0000 0.0000
Np: 0.6754 0.6754 0.0000
Pa: 0.3104 0.3104 0.0000

Output
Calculated formation energy: 0.288 eV/atom
Volume: 22.80 Å³ per atom
Space-group type: No. 107
Energy: -10.040 eV/atom
Energy above the lowest structure with this stoichiometry: 0.000 eV per formula unit
Density of states at the Fermi level: 8.43 states/eV per cell


(7)
The following is a DFT calculation (PBE-GGA) of a relaxed structure of TbNd2Tm4Th.

Cell: 5.0749 5.0749 9.8813 Å, 90.00 90.00 90.00°
Sites, in units of the cell vectors:
Tb: 0.0000 0.0000 0.0000
Nd: 0.0000 0.0000 0.5000
Nd: 0.5000 0.5000 0.0000
Tm: 0.0000 0.5000 0.2531
Tm: 0.0000 0.5000 0.7469
Tm: 0.5000 0.0000 0.2531
Tm: 0.5000 0.0000 0.7469
Th: 0.5000 0.5000 0.5000

Output
Calculated formation energy: 0.031 eV/atom
Volume: 31.81 Å³ per atom
Space-group type: No. 123
Energy: -4.903 eV/atom
Density of states at the Fermi level: 11.19 states/eV per cell


(8)
The following is a DFT calculation (PBE-GGA) of a relaxed structure of InSbF3.

Cell: 4.6681 4.6681 4.6681 Å, 90.00 90.00 90.00°
Sites, in units of the cell vectors:
In: 0.0000 0.0000 0.0000
Sb: 0.5000 0.5000 0.5000
F: 0.0000 0.5000 0.5000
F: 0.5000 0.0000 0.5000
F: 0.5000 0.5000 0.0000

Output
Volume: 20.34 Å³ per atom
Space-group type: No. 221
Formation energy from raw total energies: -1.5727 eV/atom
Energy: -4.068 eV/atom
Energy above the lowest structure with this stoichiometry: 0.000 eV per formula unit
Density of states at the Fermi level: 2.27 states/eV per cell


(9)
The following is a DFT calculation (PBE-GGA) of a relaxed structure of CsTiAgBr6.

Cell: 7.4669 7.4669 7.6991 Å, 91.80 91.80 123.03°
Sites, in units of the cell vectors:
Cs: 0.0000 0.0000 0.0000
Ti: 0.3255 0.6745 0.5000
Ag: 0.6463 0.3537 0.5000
Br: 0.0084 0.6373 0.6770
Br: 0.0381 0.4356 0.2746
Br: 0.3119 0.3908 0.6710
Br: 0.3627 0.9916 0.3230
Br: 0.5644 0.9619 0.7254
Br: 0.6092 0.6881 0.3290

Output
Volume: 39.90 Å³ per atom
Space-group type: No. 5
Formation energy from raw total energies: -1.1112 eV/atom
Energy: -3.515 eV/atom


(10)
The following is a DFT calculation (PBE-GGA) of a relaxed structure of Ta2CrIr.

Cell: 5.0806 5.0806 5.0806 Å, 141.89 127.63 66.58°
Sites, in units of the cell vectors:
Ta: 0.2467 0.2467 0.0000
Ta: 0.7533 0.7533 0.0000
Cr: 0.0000 0.5000 0.5000
Ir: 0.5000 0.0000 0.5000

Output
Calculated formation energy: -0.148 eV/atom
Volume: 15.79 Å³ per atom
Space-group type: No. 71
Energy: -10.695 eV/atom
Density of states at the Fermi level: 4.08 states/eV per cell


(11)
The following is a DFT calculation (PBE-GGA) of a relaxed structure of BeMoRh.

Cell: 5.2713 5.2713 9.7130 Å, 90.00 90.00 120.00°
Sites, in units of the cell vectors:
Be: 0.2206 0.6103 0.1667
Be: 0.3897 0.6103 0.8333
Be: 0.3897 0.7794 0.5000
Be: 0.6103 0.2206 0.5000
Be: 0.6103 0.3897 0.8333
Be: 0.7794 0.3897 0.1667
Mo: 0.0000 0.0000 0.1667
Mo: 0.0000 0.0000 0.5000
Mo: 0.0000 0.0000 0.8333
Mo: 0.0000 0.5000 0.6667
Mo: 0.5000 0.0000 0.0000
Mo: 0.5000 0.5000 0.3333
Rh: 0.0000 0.5000 0.3718
Rh: 0.0000 0.5000 0.9615
Rh: 0.5000 0.0000 0.2949
Rh: 0.5000 0.0000 0.7051
Rh: 0.5000 0.5000 0.0385
Rh: 0.5000 0.5000 0.6282

Output
Calculated formation energy: 0.017 eV/atom
Volume: 12.99 Å³ per atom
Space-group type: No. 180
Energy: -7.286 eV/atom
Energy above the lowest structure with this stoichiometry: 0.947 eV per formula unit
Density of states at the Fermi level: 14.29 states/eV per cell


(12)
The following is a DFT calculation (PBE-GGA) of a relaxed structure of Ho4TlCd2In.

Cell: 9.1738 9.1738 9.1738 Å, 33.52 33.52 33.52°
Sites, in units of the cell vectors:
Ho: 0.1248 0.1248 0.1248
Ho: 0.3748 0.3748 0.3748
Ho: 0.6252 0.6252 0.6252
Ho: 0.8752 0.8752 0.8752
Tl: 0.5000 0.5000 0.5000
Cd: 0.2513 0.2513 0.2513
Cd: 0.7487 0.7487 0.7487
In: 0.0000 0.0000 0.0000

Output
Calculated formation energy: -0.365 eV/atom
Volume: 26.21 Å³ per atom
Space-group type: No. 166
Energy: -3.521 eV/atom
Density of states at the Fermi level: 8.25 states/eV per cell


(13)
The following is a DFT calculation (PBE-GGA) of a relaxed structure of La2Hf2In.

Cell: 8.8286 8.8286 3.6498 Å, 90.00 90.00 90.00°
Sites, in units of the cell vectors:
La: 0.1361 0.3639 0.0000
La: 0.3639 0.8639 0.0000
La: 0.6361 0.1361 0.0000
La: 0.8639 0.6361 0.0000
Hf: 0.1710 0.6710 0.5000
Hf: 0.3290 0.1710 0.5000
Hf: 0.6710 0.8290 0.5000
Hf: 0.8290 0.3290 0.5000
In: 0.0000 0.0000 0.0000
In: 0.5000 0.5000 0.0000

Output
Calculated formation energy: 0.474 eV/atom
Volume: 28.45 Å³ per atom
Space-group type: No. 127
Energy: -6.026 eV/atom
Energy above the lowest structure with this stoichiometry: 2.048 eV per formula unit
Density of states at the Fermi level: 8.56 states/eV per cell


(14)
The following is a DFT calculation (PBE-GGA) of a relaxed structure of PrNdPu.

Cell: 5.8016 5.8016 3.3740 Å, 90.00 90.00 120.00°
Sites, in units of the cell vectors:
Pr: 0.0000 0.0000 0.0000
Nd: 0.6667 0.3333 0.0000
Pu: 0.3333 0.6667 0.5000

Output
Calculated formation energy: 0.255 eV/atom
Volume: 32.78 Å³ per atom
Space-group type: No. 187
Energy: -7.705 eV/atom
Energy above the lowest structure with this stoichiometry: 0.355 eV per formula unit
Density of states at the Fermi level: 10.87 states/eV per cell


(15)
The following is a DFT calculation (PBE-GGA) of a relaxed structure of NbSCl3.

Cell: 9.5378 6.3836 14.2061 Å, 90.00 127.96 90.00°
Sites, in units of the cell vectors:
Nb: 0.1434 0.1851 0.2965
Nb: 0.1434 0.3149 0.7965
Nb: 0.8566 0.6851 0.2035
Nb: 0.8566 0.8149 0.7035
S: 0.0468 0.5947 0.8664
S: 0.0468 0.9053 0.3664
S: 0.9532 0.0947 0.6336
S: 0.9532 0.4053 0.1336
Cl: 0.0518 0.6116 0.6555
Cl: 0.0518 0.8884 0.1555
Cl: 0.3553 0.2181 0.9951
Cl: 0.3553 0.2819 0.4951
Cl: 0.3680 0.2024 0.2774
Cl: 0.3680 0.2976 0.7774
Cl: 0.6320 0.7024 0.2226
Cl: 0.6320 0.7976 0.7226
Cl: 0.6447 0.7181 0.5049
Cl: 0.6447 0.7819 0.0049
Cl: 0.9482 0.1116 0.8445
Cl: 0.9482 0.3884 0.3445

Output
Volume: 34.10 Å³ per atom
Space-group type: No. 14
Formation energy from raw total energies: -1.0275 eV/atom
Energy: -4.975 eV/atom
Energy above the lowest structure with this stoichiometry: 0.568 eV per formula unit
Density of states at the Fermi level: 0.00 states/eV per cell


(16)
The following is a DFT calculation (PBE-GGA) of a relaxed structure of Rb2AsCl6O.

Cell: 7.0939 7.0939 7.0939 Å, 114.26 114.26 100.27°
Sites, in units of the cell vectors:
Rb: 0.2500 0.7500 0.5000
Rb: 0.7500 0.2500 0.5000
As: 0.0000 0.0000 0.0000
Cl: 0.2232 0.2232 0.4464
Cl: 0.2232 0.7768 0.0000
Cl: 0.2678 0.2678 0.0000
Cl: 0.7322 0.7322 0.0000
Cl: 0.7768 0.2232 0.0000
Cl: 0.7768 0.7768 0.5536
O: 0.5000 0.5000 0.0000

Output
Volume: 26.96 Å³ per atom
Space-group type: No. 139
Formation energy from raw total energies: -0.8499 eV/atom
Energy: -3.112 eV/atom
Density of states at the Fermi level: 6.81 states/eV per cell


(17)
The following is a DFT calculation (PBE-GGA) of a relaxed structure of KGe3B4O12.

Cell: 6.1110 6.1110 6.1110 Å, 102.70 102.70 102.70°
Sites, in units of the cell vectors:
K: 0.0000 0.0000 0.0000
Ge: 0.0000 0.5469 0.4531
Ge: 0.4531 0.0000 0.5469
Ge: 0.5469 0.4531 0.0000
B: 0.0562 0.5000 0.9438
B: 0.5000 0.5000 0.5000
B: 0.5000 0.9438 0.0562
B: 0.9438 0.0562 0.5000
O: 0.0049 0.5983 0.7658
O: 0.0937 0.9063 0.5000
O: 0.2342 0.4017 0.9951
O: 0.3534 0.6466 0.5000
O: 0.4017 0.9951 0.2342
O: 0.5000 0.0937 0.9063
O: 0.5000 0.3534 0.6466
O: 0.5983 0.7658 0.0049
O: 0.6466 0.5000 0.3534
O: 0.7658 0.0049 0.5983
O: 0.9063 0.5000 0.0937
O: 0.9951 0.2342 0.4017

Output
Volume: 10.42 Å³ per atom
Space-group type: No. 155
Formation energy from raw total energies: -1.8877 eV/atom
Energy: -6.946 eV/atom
Density of states at the Fermi level: 2.61 states/eV per cell


(18)
The following is a DFT calculation (PBE-GGA) of a relaxed structure of SmH2Br4.

Cell: 8.2193 8.2193 3.8764 Å, 90.00 90.00 136.92°
Sites, in units of the cell vectors:
Sm: 0.0000 0.0000 0.0000
H: 0.3921 0.6079 0.5000
H: 0.6079 0.3921 0.5000
Br: 0.1345 0.8655 0.5000
Br: 0.3899 0.6101 0.0000
Br: 0.6101 0.3899 0.0000
Br: 0.8655 0.1345 0.5000

Output
Volume: 25.55 Å³ per atom
Space-group type: No. 65
Energy: -3.245 eV/atom
Density of states at the Fermi level: 2.34 states/eV per cell


(19)
The following is a DFT calculation (PBE-GGA) of a relaxed structure of HoTh2Cu.

Cell: 3.5562 3.5562 8.7247 Å, 90.00 90.00 90.00°
Sites, in units of the cell vectors:
Ho: 0.0000 0.0000 0.0000
Th: 0.5000 0.5000 0.2928
Th: 0.5000 0.5000 0.7072
Cu: 0.0000 0.0000 0.5000

Output
Calculated formation energy: 0.014 eV/atom
Volume: 27.58 Å³ per atom
Space-group type: No. 123
Energy: -5.864 eV/atom
Energy above the lowest structure with this stoichiometry: 0.000 eV per formula unit
Density of states at the Fermi level: 4.18 states/eV per cell


(20)
The following is a DFT calculation (PBE-GGA) of a relaxed structure of TaNb2Rh2.

Cell: 7.6703 7.6703 2.9171 Å, 90.00 90.00 90.00°
Sites, in units of the cell vectors:
Ta: 0.0000 0.0000 0.0000
Ta: 0.5000 0.5000 0.0000
Nb: 0.1638 0.3362 0.0000
Nb: 0.3362 0.8362 0.0000
Nb: 0.6638 0.1638 0.0000
Nb: 0.8362 0.6638 0.0000
Rh: 0.1339 0.6339 0.5000
Rh: 0.3661 0.1339 0.5000
Rh: 0.6339 0.8661 0.5000
Rh: 0.8661 0.3661 0.5000

Output
Calculated formation energy: -0.105 eV/atom
Volume: 17.16 Å³ per atom
Space-group type: No. 127
Energy: -9.444 eV/atom
Energy above the lowest structure with this stoichiometry: 0.528 eV per formula unit
Density of states at the Fermi level: 8.39 states/eV per cell